Here is crystalline Rb2LiSnSe4 at its relaxed geometry from Alexandria via LeMat-Bulk. Energies are from PBE-GGA.

It has space group I-42m (No. 121), with a = 8.328 Å, b = 8.328 Å, c = 7.284 Å, α = 90.00°, β = 90.00° and γ = 90.00°. The inequivalent atoms are Rb at (0.000, 0.500, 0.000), Li at (0.000, 0.000, 0.000), Sn at (0.000, 0.000, 0.500) and Se at (0.162, 0.162, 0.264).

The value obtained for the total magnetic moment is 0.93 μB/f.u. For the final energy, the calculation gives -0.25818 Ry per atom. The formation energy (no corrections) is -789 meV/atom. The calculated volume is 31.6 A^3/atom.